Record 1
DFT (PBE-GGA) results for an optimized crystal structure of Ru3WCl.

a b c (Å): 4.7864 4.7864 4.7864
angles (deg): 90.00 90.00 90.00
Last column: nearest neighbours and their distance in Å.
Fractional positions:
Ru 0.0000 0.0000 0.5000  2 W 2.39
Ru 0.0000 0.5000 0.0000  2 W 2.39
Ru 0.5000 0.0000 0.0000  2 W 2.39
W 0.0000 0.0000 0.0000  6 Ru 2.39
Cl 0.5000 0.5000 0.5000  12 Ru 3.38

Output
E_form (uncorrected) = 1.774 eV/atom
calculated total energy = -6.7510 eV per atom
SG = Pm-3m

=====

Record 2
DFT (PBE-GGA) results for an optimized crystal structure of RuW2Cl.

a b c (Å): 8.8051 8.8051 8.8051
angles (deg): 18.74 18.74 18.74
Last column: nearest neighbours and their distance in Å.
Fractional positions:
Ru 0.0000 0.0000 0.0000  6 W 2.72, 6 Ru 2.87
W 0.2500 0.2500 0.2500  3 Ru 2.72, 3 Cl 2.72, 6 W 2.87
W 0.7500 0.7500 0.7500  3 Ru 2.72, 3 Cl 2.72, 6 W 2.87
Cl 0.5000 0.5000 0.5000  6 W 2.72, 6 Cl 2.87

Output
E_form (uncorrected) = 0.383 eV/atom
calculated total energy = -8.8741 eV per atom
SG = R-3m

=====

Record 3
DFT (PBE-GGA) results for an optimized crystal structure of RuW2Cl.

a b c (Å): 2.8385 4.0793 5.5209
angles (deg): 90.00 104.65 90.00
Last column: nearest neighbours and their distance in Å.
Fractional positions:
Ru 0.0000 0.0000 0.0000  7 W 2.72-2.99, 4 Cl 2.79-2.82, 2 Ru 2.84
W 0.2648 0.0000 0.5092  2 Cl 2.43, 1 Ru 2.72
W 0.6012 0.5000 0.2057  1 Cl 2.40
Cl 0.3913 0.5000 0.7560  3 W 2.40-2.43

Output
E_form (uncorrected) = 0.559 eV/atom
calculated total energy = -8.6987 eV per atom
SG = Pm